# Ag2HgRh2

Ag2HgRh2 after structural relaxation (PBE, the Alexandria database).

uncorrected energy: -3.6657 eV/atom
calculated volume: 89 Å³/f.u.
M_tot: 0.131 μB per atom
relative energy among the computed polymorphs: 99 meV/atom
E_form: 0.476 eV per atom

Cell and atoms, written as CIF:
```
data_Ag2HgRh2
_chemical_formula_sum 'Ag4 Hg2 Rh4'
_cell_length_a 7.864
_cell_length_b 7.864
_cell_length_c 2.878
_cell_angle_alpha 90.00
_cell_angle_beta 90.00
_cell_angle_gamma 90.00
_space_group_name_H-M_alt 'P 4/m b m'
_space_group_IT_number 127
_space_group_name_Hall '-P 4 2ab'
loop_
_atom_site_label
_atom_site_fract_x
_atom_site_fract_y
_atom_site_fract_z
_atom_site_occupancy
Ag1 0.128 0.372 0.000 1
Hg1 0.000 0.000 0.000 1
Rh1 0.169 0.669 0.500 1
```

***

# AgHgRh

AgHgRh after structural relaxation (PBE, the Alexandria database).

uncorrected energy: -3.2604 eV/atom
calculated volume: 53 Å³/f.u.
M_tot: 0.000 μB per atom
relative energy among the computed polymorphs: 28 meV/atom
E_form: 0.241 eV per atom

Cell and atoms, written as CIF:
```
data_AgHgRh
_chemical_formula_sum 'Ag1 Hg1 Rh1'
_cell_length_a 2.9568
_cell_length_b 2.9568
_cell_length_c 6.9970
_cell_angle_alpha 90.00
_cell_angle_beta 90.00
_cell_angle_gamma 120.00
_space_group_name_H-M_alt 'P 3 m 1'
_space_group_IT_number 156
loop_
_space_group_symop_operation_xyz
'x,y,z'
'-y,x-y,z'
'-x+y,-x,z'
'-y,-x,z'
'-x+y,y,z'
'x,x-y,z'
loop_
_atom_site_label
_atom_site_fract_x
_atom_site_fract_y
_atom_site_fract_z
_atom_site_occupancy
Ag1 0.0000 0.0000 0.0000 1
Hg1 0.6667 0.3333 0.3529 1
Rh1 0.3333 0.6667 0.6775 1
```

***

# AgHgRh

AgHgRh after structural relaxation (PBE, the Alexandria database).

uncorrected energy: -3.1088 eV/atom
calculated volume: 63 Å³/f.u.
M_tot: 0.000 μB per atom
relative energy among the computed polymorphs: 180 meV/atom
E_form: 0.393 eV per atom

Cell and atoms, written as CIF:
```
data_AgHgRh
_chemical_formula_sum 'Ag4 Hg4 Rh4'
_cell_length_a 6.310
_cell_length_b 6.310
_cell_length_c 6.310
_cell_angle_alpha 90.00
_cell_angle_beta 90.00
_cell_angle_gamma 90.00
_space_group_name_H-M_alt 'F -4 3 m'
_space_group_IT_number 216
_space_group_name_Hall 'F -4 2 3'
loop_
_atom_site_label
_atom_site_fract_x
_atom_site_fract_y
_atom_site_fract_z
_atom_site_occupancy
Ag1 0.000 0.000 0.000 1
Hg1 0.000 0.000 0.500 1
Rh1 0.250 0.250 0.750 1
```

***

# Ag2HgRh

Ag2HgRh after structural relaxation (PBE, the Alexandria database).

uncorrected energy: -3.1982 eV/atom
calculated volume: 70 Å³/f.u.
M_tot: 0.000 μB per atom
E_form: 0.141 eV per atom

Cell and atoms, written as CIF:
```
data_Ag2HgRh
_chemical_formula_sum 'Ag4 Hg2 Rh2'
_cell_length_a 4.307
_cell_length_b 4.307
_cell_length_c 7.589
_cell_angle_alpha 90.00
_cell_angle_beta 90.00
_cell_angle_gamma 90.00
_space_group_name_H-M_alt 'I -4 m 2'
_space_group_IT_number 119
_space_group_name_Hall 'I -4 -2'
loop_
_atom_site_label
_atom_site_fract_x
_atom_site_fract_y
_atom_site_fract_z
_atom_site_occupancy
Ag1 0.000 0.000 0.000 1
Ag2 0.000 0.500 0.250 1
Hg1 0.000 0.000 0.500 1
Rh1 0.000 0.500 0.750 1
```

***

# Ag2HgRh

Ag2HgRh after structural relaxation (PBE, the Alexandria database).

uncorrected energy: -3.1747 eV/atom
calculated volume: 70 Å³/f.u.
M_tot: 0.000 μB per atom
E_form: 0.164 eV per atom

Cell and atoms, written as CIF:
```
data_Ag2HgRh
_chemical_formula_sum 'Ag4 Hg2 Rh2'
_cell_length_a 4.099
_cell_length_b 4.099
_cell_length_c 8.375
_cell_angle_alpha 90.00
_cell_angle_beta 90.00
_cell_angle_gamma 90.00
_space_group_name_H-M_alt 'I 4/m m m'
_space_group_IT_number 139
_space_group_name_Hall '-I 4 2'
loop_
_atom_site_label
_atom_site_fract_x
_atom_site_fract_y
_atom_site_fract_z
_atom_site_occupancy
Ag1 0.000 0.500 0.250 1
Hg1 0.000 0.000 0.000 1
Rh1 0.000 0.000 0.500 1
```

***

# Ag2HgRh

Ag2HgRh after structural relaxation (PBE, the Alexandria database).

uncorrected energy: -3.2187 eV/atom
calculated volume: 70 Å³/f.u.
M_tot: 0.000 μB per atom
E_form: 0.120 eV per atom

Cell and atoms, written as CIF:
```
data_Ag2HgRh
_chemical_formula_sum 'Ag2 Hg1 Rh1'
_cell_length_a 4.029
_cell_length_b 4.029
_cell_length_c 4.338
_cell_angle_alpha 90.00
_cell_angle_beta 90.00
_cell_angle_gamma 90.00
_space_group_name_H-M_alt 'P 4/m m m'
_space_group_IT_number 123
_space_group_name_Hall '-P 4 2'
loop_
_atom_site_label
_atom_site_fract_x
_atom_site_fract_y
_atom_site_fract_z
_atom_site_occupancy
Ag1 0.000 0.500 0.000 1
Hg1 0.000 0.000 0.500 1
Rh1 0.500 0.500 0.500 1
```

***

# Ag2HgRh

Ag2HgRh after structural relaxation (PBE, the Alexandria database).

uncorrected energy: -3.1355 eV/atom
calculated volume: 71 Å³/f.u.
M_tot: 0.069 μB per atom
E_form: 0.203 eV per atom

Cell and atoms, written as CIF:
```
data_Ag2HgRh
_chemical_formula_sum 'Ag2 Hg1 Rh1'
_cell_length_a 2.901
_cell_length_b 4.216
_cell_length_c 5.782
_cell_angle_alpha 90.00
_cell_angle_beta 90.00
_cell_angle_gamma 90.00
_space_group_name_H-M_alt 'P m m m'
_space_group_IT_number 47
loop_
_space_group_symop_operation_xyz
'x,y,z'
'-x,-y,-z'
'-x,-y,z'
'x,y,-z'
'x,-y,-z'
'-x,y,z'
'-x,y,-z'
'x,-y,z'
loop_
_atom_site_label
_atom_site_fract_x
_atom_site_fract_y
_atom_site_fract_z
_atom_site_occupancy
Ag1 0.000 0.000 0.238 1
Hg1 0.500 0.500 0.500 1
Rh1 0.500 0.500 0.000 1
```

***

# Ag2HgRh

Ag2HgRh after structural relaxation (PBE, the Alexandria database).

uncorrected energy: -3.1055 eV/atom
calculated volume: 72 Å³/f.u.
M_tot: 0.000 μB per atom
E_form: 0.233 eV per atom

Cell and atoms, written as CIF:
```
data_Ag2HgRh
_chemical_formula_sum 'Ag4 Hg2 Rh2'
_cell_length_a 3.048
_cell_length_b 4.892
_cell_length_c 9.596
_cell_angle_alpha 90.00
_cell_angle_beta 90.00
_cell_angle_gamma 90.00
_space_group_name_H-M_alt 'C m m 2'
_space_group_IT_number 35
loop_
_space_group_symop_operation_xyz
'x,y,z'
'-x,-y,z'
'-x,y,z'
'x,-y,z'
'x+1/2,y+1/2,z'
'-x+1/2,-y+1/2,z'
'-x+1/2,y+1/2,z'
'x+1/2,-y+1/2,z'
loop_
_atom_site_label
_atom_site_fract_x
_atom_site_fract_y
_atom_site_fract_z
_atom_site_occupancy
Ag1 0.000 0.000 0.000 1
Ag2 0.000 0.500 0.251 1
Hg1 0.000 0.000 0.516 1
Rh1 0.000 0.500 0.759 1
```